Compound: ZnIn2Se4O12
Source: the Alexandria database
Functional: GGA-PBEsol
Structure: optimized geometry

abc: 4.8361 8.5607 14.4765
angles: 101.25 90.00 90.00
Element x y z (fractional)
Zn 0.0000 0.0000 0.0000
Zn 0.5000 0.5000 0.5000
In 0.5301 0.0596 0.2154
In 0.9699 0.5596 0.7154
In 0.4699 0.9404 0.7846
In 0.0301 0.4404 0.2846
Se 0.5660 0.3307 0.1053
Se 0.9340 0.8307 0.6053
Se 0.4340 0.6693 0.8947
Se 0.0660 0.1693 0.3947
Se 0.9993 0.7820 0.1303
Se 0.5007 0.2820 0.6303
Se 0.0007 0.2180 0.8697
Se 0.4993 0.7180 0.3697
O 0.7623 0.8519 0.2171
O 0.7377 0.3519 0.7171
O 0.2377 0.1481 0.7829
O 0.2623 0.6481 0.2829
O 0.8189 0.4563 0.1583
O 0.6811 0.9563 0.6583
O 0.1811 0.5437 0.8417
O 0.3189 0.0437 0.3417
O 0.2020 0.9511 0.1251
O 0.2980 0.4511 0.6251
O 0.7980 0.0489 0.8749
O 0.7020 0.5489 0.3749
O 0.7083 0.1418 0.0941
O 0.7917 0.6418 0.5941
O 0.2917 0.8582 0.9059
O 0.2083 0.3582 0.4059
O 0.3615 0.2976 0.1999
O 0.1385 0.7976 0.6999
O 0.6385 0.7024 0.8001
O 0.8615 0.2024 0.3001
O 0.8312 0.7976 0.0285
O 0.6688 0.2976 0.5285
O 0.1688 0.2024 0.9715
O 0.3312 0.7024 0.4715

Properties
The value obtained for the uncorrected formation energy is -1.0844 eV/atom. As for the calculated volume: 293.9 Å³/f.u. The symmetry is No. 14.

=====

Compound: InSiO3
Source: the Alexandria database
Functional: GGA-PBEsol
Structure: optimized geometry

abc: 3.6250 3.6250 3.6250
angles: 90.00 90.00 90.00
Element x y z (fractional)
Si 0.0000 0.0000 0.0000
O 0.0000 0.5000 0.0000
O 0.0000 0.0000 0.5000
O 0.5000 0.0000 0.0000
In 0.5000 0.5000 0.5000

Properties
The value obtained for the uncorrected formation energy is -1.7771 eV/atom. As for the calculated volume: 47.6 Å³/f.u. The symmetry is No. 221.

=====

Compound: SmInO3
Source: the Alexandria database
Functional: GGA-PBEsol
Structure: optimized geometry

abc: 5.5534 5.8883 8.1127
angles: 90.00 90.00 90.00
Element x y z (fractional)
Sm 0.9778 0.0662 0.2500
Sm 0.4778 0.4338 0.7500
Sm 0.5222 0.5662 0.2500
Sm 0.0222 0.9338 0.7500
In 0.5000 0.0000 0.0000
In 0.5000 0.0000 0.5000
In 0.0000 0.5000 0.0000
In 0.0000 0.5000 0.5000
O 0.6345 0.0592 0.7500
O 0.1893 0.1930 0.5694
O 0.1893 0.1930 0.9306
O 0.6893 0.3070 0.4306
O 0.6893 0.3070 0.0694
O 0.1345 0.4408 0.2500
O 0.8655 0.5592 0.7500
O 0.3107 0.6930 0.9306
O 0.3107 0.6930 0.5694
O 0.8107 0.8070 0.0694
O 0.8107 0.8070 0.4306
O 0.3655 0.9408 0.2500

Properties
The value obtained for the uncorrected formation energy is -2.5320 eV/atom. As for the calculated volume: 66.3 Å³/f.u. The symmetry is No. 62.

=====

Number 1: total magnetization 0.00 Bohr magnetons per cell. Number 2: total magnetization 0.00 Bohr magnetons per cell. Number 3: total magnetization 0.00 Bohr magnetons per cell.